Material: MgAgPS4
Method: DFT, PBE-GGA
State: optimized geometry

Cell and atoms, written as POSCAR:
```
MgAgPS4
1.0
-3.458 4.153 4.911
3.458 -4.153 4.911
3.458 4.153 -4.911
Mg Ag P S
2 2 2 8
Direct
0.000 0.000 0.000
0.500 0.000 0.500
0.500 0.000 0.000
0.500 0.500 0.500
0.128 0.378 0.750
0.872 0.622 0.250
0.182 0.720 0.461
0.241 0.280 0.961
0.253 0.238 0.485
0.253 0.767 0.015
0.747 0.233 0.985
0.747 0.762 0.515
0.759 0.720 0.039
0.818 0.280 0.539
```

* space-group type: Imma
* ρ: 3.4 g/cm³
* VASP energy: -57.77 eV for the cell shown
* magnetic moment: 0.000 μB/atom

Material: MgAgPS2
Method: DFT, PBE-GGA
State: optimized geometry

Cell and atoms, written as POSCAR:
```
MgAgPS2
1.0
4.941 0.000 0.000
0.000 4.941 0.000
0.000 0.000 4.662
Mg Ag P S
1 1 1 2
Direct
0.000 0.000 0.000
0.500 0.500 0.500
0.500 0.500 0.000
0.000 0.500 0.500
0.500 0.000 0.500
```

* space-group type: P4/mmm
* ρ: 3.3 g/cm³
* relative energy among the computed polymorphs: 28.9 meV/atom
* magnetic moment: 0.127 μB/atom

Material: MgAgPS2
Method: DFT, PBE-GGA
State: optimized geometry

Cell and atoms, written as POSCAR:
```
MgAgPS2
1.0
4.807 0.000 0.000
0.000 4.807 0.000
0.000 0.000 4.814
Mg Ag P S
1 1 1 2
Direct
0.000 0.000 0.000
0.500 0.500 0.500
0.000 0.000 0.500
0.000 0.500 0.000
0.500 0.000 0.000
```

* space-group type: P4/mmm
* ρ: 3.4 g/cm³
* relative energy among the computed polymorphs: 0.0 meV/atom
* magnetic moment: 0.000 μB/atom

Material: MgAg2PS4
Method: DFT, PBE-GGA
State: optimized geometry

Cell and atoms, written as POSCAR:
```
MgAg2PS4
1.0
8.061 0.000 0.000
0.000 6.947 0.000
0.000 0.000 6.439
Mg Ag P S
2 4 2 8
Direct
0.000 0.139 0.000
0.500 0.861 0.500
0.243 0.325 0.516
0.257 0.675 0.016
0.743 0.675 0.016
0.757 0.325 0.516
0.000 0.819 0.497
0.500 0.181 0.997
0.000 0.110 0.389
0.000 0.821 0.829
0.247 0.681 0.408
0.253 0.319 0.908
0.500 0.179 0.329
0.500 0.890 0.889
0.747 0.319 0.908
0.753 0.681 0.408
```

* space-group type: Pmn2_1
* ρ: 3.7 g/cm³
* VASP energy: -63.69 eV for the cell shown
* magnetic moment: 0.000 μB/atom

Material: MgScAgP2
Method: DFT, PBE-GGA
State: optimized geometry

Cell and atoms, written as POSCAR:
```
MgScAgP2
1.0
4.871 0.000 0.000
0.000 4.871 0.000
0.000 0.000 5.242
Mg Sc Ag P
1 1 1 2
Direct
0.000 0.000 0.000
0.500 0.500 0.500
0.500 0.500 0.000
0.000 0.500 0.500
0.500 0.000 0.500
```

* space-group type: P4/mmm
* ρ: 3.2 g/cm³
* VASP energy: -20.11 eV for the cell shown
* magnetic moment: 0.000 μB/atom

Material: MgAg2PSe4
Method: DFT, PBE-GGA
State: optimized geometry

Cell and atoms, written as POSCAR:
```
MgAg2PSe4
1.0
0.000 4.150 6.153
4.145 0.000 6.153
4.145 4.150 0.000
Mg Ag P Se
1 2 1 4
Direct
0.000 0.000 0.000
0.250 0.250 0.250
0.750 0.750 0.750
0.500 0.500 0.500
0.153 0.616 0.847
0.384 0.847 0.153
0.616 0.153 0.384
0.847 0.384 0.616
```

* space-group type: Fmm2
* ρ: 4.6 g/cm³
* VASP energy: -28.78 eV for the cell shown
* magnetic moment: 0.000 μB/atom

Material: MgSi2AgP
Method: DFT, PBE-GGA
State: optimized geometry

Cell and atoms, written as POSCAR:
```
MgSi2AgP
1.0
4.846 0.000 0.000
0.000 4.846 0.000
0.000 0.000 4.894
Mg Si Ag P
1 2 1 1
Direct
0.000 0.000 0.000
0.000 0.500 0.000
0.500 0.000 0.000
0.000 0.000 0.500
0.500 0.500 0.500
```

* space-group type: P4/mmm
* ρ: 3.2 g/cm³
* VASP energy: -14.31 eV for the cell shown
* magnetic moment: 0.000 μB/atom

Material: MgAgSn2P
Method: DFT, PBE-GGA
State: optimized geometry

Cell and atoms, written as POSCAR:
```
MgAgSn2P
1.0
5.464 0.000 0.000
0.000 5.464 0.000
0.000 0.000 4.751
Mg Ag Sn P
1 1 2 1
Direct
0.000 0.000 0.000
0.500 0.500 0.500
0.000 0.500 0.500
0.500 0.000 0.500
0.500 0.500 0.000
```

* space-group type: P4/mmm
* ρ: 4.7 g/cm³
* VASP energy: -15.12 eV for the cell shown
* magnetic moment: 0.000 μB/atom

Material: MgTa2AgP
Method: DFT, PBE-GGA
State: optimized geometry

Cell and atoms, written as POSCAR:
```
MgTa2AgP
1.0
4.967 0.000 0.000
0.000 4.967 0.000
0.000 0.000 4.665
Mg Ta Ag P
1 2 1 1
Direct
0.000 0.000 0.000
0.000 0.500 0.500
0.500 0.000 0.500
0.000 0.000 0.500
0.500 0.500 0.000
```

* space-group type: P4/mmm
* ρ: 7.6 g/cm³
* VASP energy: -25.49 eV for the cell shown
* magnetic moment: 0.182 μB/atom

Material: Mg2PaAg
Method: DFT, PBE-GGA
State: optimized geometry

Cell and atoms, written as POSCAR:
```
Mg2PaAg
1.0
3.085 0.000 0.000
0.000 3.085 0.000
0.000 0.000 8.954
Mg Pa Ag
2 1 1
Direct
0.000 0.000 0.213
0.000 0.000 0.787
0.500 0.500 0.500
0.500 0.500 0.000
```

* space-group type: P4/mmm
* ρ: 7.6 g/cm³
* relative energy among the computed polymorphs: 0.0 meV/atom
* magnetic moment: 0.185 μB/atom

Material: Mg2PaAg
Method: DFT, PBE-GGA
State: optimized geometry

Cell and atoms, written as POSCAR:
```
Mg2PaAg
1.0
1.522 0.879 11.135
-1.522 0.879 11.135
0.000 -1.758 11.135
Mg Pa Ag
2 1 1
Direct
0.096 0.096 0.096
0.904 0.904 0.904
0.000 0.000 0.000
0.500 0.500 0.500
```

* space-group type: R-3m
* ρ: 7.2 g/cm³
* relative energy among the computed polymorphs: 154.1 meV/atom
* magnetic moment: 0.036 μB/atom

Material: MgPaAgPb
Method: DFT, PBE-GGA
State: optimized geometry

Cell and atoms, written as POSCAR:
```
MgPaAgPb
1.0
0.000 3.639 3.639
3.639 0.000 3.639
3.639 3.639 0.000
Mg Pa Ag Pb
1 1 1 1
Direct
0.000 0.000 0.000
0.500 0.500 0.500
0.250 0.250 0.250
0.750 0.750 0.750
```

* space-group type: F-43m
* ρ: 9.8 g/cm³
* VASP energy: -17.17 eV for the cell shown
* magnetic moment: 0.000 μB/atom

Material: MgPaAgPd
Method: DFT, PBE-GGA
State: optimized geometry

Cell and atoms, written as POSCAR:
```
MgPaAgPd
1.0
0.000 3.462 3.462
3.462 0.000 3.462
3.462 3.462 0.000
Mg Pa Ag Pd
1 1 1 1
Direct
0.000 0.000 0.000
0.500 0.500 0.500
0.750 0.750 0.750
0.250 0.250 0.250
```

* space-group type: F-43m
* ρ: 9.4 g/cm³
* VASP energy: -19.86 eV for the cell shown
* magnetic moment: 0.089 μB/atom

Material: MgPaAgRu
Method: DFT, PBE-GGA
State: optimized geometry

Cell and atoms, written as POSCAR:
```
MgPaAgRu
1.0
0.000 3.406 3.406
3.406 0.000 3.406
3.406 3.406 0.000
Mg Pa Ag Ru
1 1 1 1
Direct
0.000 0.000 0.000
0.500 0.500 0.500
0.750 0.750 0.750
0.250 0.250 0.250
```

* space-group type: F-43m
* ρ: 9.8 g/cm³
* VASP energy: -23.28 eV for the cell shown
* magnetic moment: 0.000 μB/atom

Material: MgPaAgSe4
Method: DFT, PBE-GGA
State: optimized geometry

Cell and atoms, written as POSCAR:
```
MgPaAgSe4
1.0
-4.035 4.247 5.540
4.035 -4.247 5.540
4.035 4.247 -5.540
Mg Pa Ag Se
2 2 2 8
Direct
0.500 0.000 0.000
0.500 0.500 0.500
0.000 0.000 0.000
0.500 0.000 0.500
0.091 0.341 0.750
0.909 0.659 0.250
0.244 0.225 0.481
0.244 0.764 0.019
0.282 0.248 0.035
0.287 0.752 0.535
0.713 0.248 0.465
0.718 0.752 0.965
0.756 0.236 0.981
0.756 0.775 0.519
```

* space-group type: Imma
* ρ: 5.9 g/cm³
* VASP energy: -70.19 eV for the cell shown
* magnetic moment: 0.000 μB/atom

Material: MgPaAgSn
Method: DFT, PBE-GGA
State: optimized geometry

Cell and atoms, written as POSCAR:
```
MgPaAgSn
1.0
0.000 3.598 3.598
3.598 0.000 3.598
3.598 3.598 0.000
Mg Pa Ag Sn
1 1 1 1
Direct
0.000 0.000 0.000
0.500 0.500 0.500
0.250 0.250 0.250
0.750 0.750 0.750
```

* space-group type: F-43m
* ρ: 8.6 g/cm³
* VASP energy: -18.00 eV for the cell shown
* magnetic moment: 0.000 μB/atom

Material: Mg2PaAg3Te6
Method: DFT, PBE-GGA
State: optimized geometry

Cell and atoms, written as POSCAR:
```
Mg2PaAg3Te6
1.0
3.777 -6.463 0.000
3.777 6.463 0.000
-1.829 0.000 6.948
Mg Pa Ag Te
2 1 3 6
Direct
0.179 0.821 0.000
0.821 0.179 0.000
0.500 0.500 0.000
0.000 0.000 0.500
0.385 0.615 0.500
0.615 0.385 0.500
0.105 0.441 0.749
0.206 0.206 0.222
0.441 0.105 0.749
0.559 0.895 0.251
0.794 0.794 0.778
0.895 0.559 0.251
```

* space-group type: C2/m
* ρ: 6.7 g/cm³
* VASP energy: -45.91 eV for the cell shown
* magnetic moment: 0.000 μB/atom

Material: MgAgPb4
Method: DFT, PBE-GGA
State: optimized geometry

Cell and atoms, written as POSCAR:
```
MgAgPb4
1.0
0.000 4.542 4.542
4.542 0.000 4.542
4.542 4.542 0.000
Mg Ag Pb
1 1 4
Direct
0.000 0.000 0.000
0.250 0.250 0.250
0.125 0.625 0.625
0.625 0.125 0.625
0.625 0.625 0.125
0.625 0.625 0.625
```

* space-group type: F-43m
* ρ: 8.5 g/cm³
* VASP energy: -17.46 eV for the cell shown
* magnetic moment: 0.000 μB/atom

Material: MgAg2Pb
Method: DFT, PBE-GGA
State: optimized geometry

Cell and atoms, written as POSCAR:
```
MgAg2Pb
1.0
0.000 3.499 3.499
3.499 0.000 3.499
3.499 3.499 0.000
Mg Ag Pb
1 2 1
Direct
0.000 0.000 0.000
0.250 0.250 0.250
0.500 0.500 0.500
0.750 0.750 0.750
```

* space-group type: F-43m
* ρ: 8.7 g/cm³
* VASP energy: -10.92 eV for the cell shown
* magnetic moment: 0.000 μB/atom

Material: Mg7Ag2Pb
Method: DFT, PBE-GGA
State: optimized geometry

Cell and atoms, written as POSCAR:
```
Mg7Ag2Pb
1.0
-2.333 2.333 10.677
2.333 -2.333 10.677
2.333 2.333 -10.677
Mg Ag Pb
7 2 1
Direct
0.000 0.000 0.000
0.102 0.602 0.500
0.250 0.750 0.500
0.398 0.898 0.500
0.602 0.102 0.500
0.750 0.250 0.500
0.898 0.398 0.500
0.172 0.172 0.000
0.828 0.828 0.000
0.500 0.500 0.000
```

* space-group type: I4/mmm
* ρ: 4.2 g/cm³
* VASP energy: -21.39 eV for the cell shown
* magnetic moment: 0.000 μB/atom